Run P
Density functional theory data (PBE) for crystalline DyYThCd at its relaxed geometry.

Values from the calculation:
Total magnetic moment in μB/atom: 0.000
Calculated volume in Å³/atom: 28.98
D(E_F) in states/eV/atom: 1.30

Geometry as POSCAR:
```
DyYThCd
1.0
3.618 0.000 0.000
0.000 3.618 0.000
0.000 0.000 8.858
Dy Y Th Cd
1 1 1 1
Cartesian
0.000 0.000 0.000
0.000 0.000 4.788
1.809 1.809 2.381
1.809 1.809 6.832
```

---

Run Q
Density functional theory data (PBE) for crystalline DyYThCd at its relaxed geometry.

Values from the calculation:
Total magnetic moment in μB/atom: 0.310
Calculated volume in Å³/atom: 29.24
D(E_F) in states/eV/atom: 1.61

Geometry as POSCAR:
```
DyYThCd
1.0
0.000 3.881 3.881
3.881 0.000 3.881
3.881 3.881 0.000
Dy Y Th Cd
1 1 1 1
Cartesian
0.000 0.000 0.000
3.881 3.881 3.881
1.941 1.941 1.941
5.822 5.822 5.822
```

---

Stability summary: most stable run P, least stable run Q.

---

Run P
Density functional theory data (PBE) for crystalline DyTiCd at its relaxed geometry.

Values from the calculation:
Total magnetic moment in μB/atom: 0.000
Calculated volume in Å³/atom: 22.86
D(E_F) in states/eV/atom: 0.62

Geometry as POSCAR:
```
DyTiCd
1.0
-1.652 1.652 6.282
1.652 -1.652 6.282
1.652 1.652 -6.282
Dy Ti Cd
1 1 1
Cartesian
0.000 0.000 0.000
0.000 0.000 8.376
0.000 0.000 3.909
```

---

Run Q
Density functional theory data (PBE) for crystalline DyTiCd at its relaxed geometry.

Values from the calculation:
Total magnetic moment in μB/atom: 0.002
Calculated volume in Å³/atom: 24.31
D(E_F) in states/eV/atom: 1.38

Geometry as POSCAR:
```
DyTiCd
1.0
0.000 4.965 5.601
2.623 0.000 5.601
2.623 4.965 0.000
Dy Ti Cd
2 2 2
Cartesian
2.623 4.965 1.472
2.623 4.965 9.730
2.623 3.030 5.601
2.623 6.901 5.601
1.311 2.483 2.801
3.934 7.448 8.402
```

---

Stability summary: most stable run P, least stable run Q.